Compound: TaNbNF2
Source: Alexandria
Functional: GGA-PBE
Structure: relaxed

Total DFT energy (no corrections): -35.32 eV per cell
Uncorrected formation energy: -0.265 eV per atom
Total moment: 3.9 μB per cell
Density: 7.544 Mg/m³
Relative energy among the computed polymorphs: 327 meV per atom

Cell: 4.140 4.140 4.186 Å, 90.00 90.00 90.00°
Space group P4/mmm (No. 123)
Inequivalent atoms, fractional coordinates:
Ta: 0.000 0.000 0.000 x1
Nb: 0.500 0.500 0.500 x1
N: 0.500 0.500 0.000 x1
F: 0.000 0.500 0.500 x2